Here is FeCoH2 after structural relaxation from Alexandria. Energies are from PBEsol.

```
FeCoH2
1.0
0.000 2.388 2.388
2.388 0.000 2.388
2.388 2.388 0.000
Fe Co H
1 1 2
Direct
0.000 0.000 0.000
0.500 0.500 0.500
0.250 0.250 0.250
0.750 0.750 0.750
```

Values from the calculation:
The crystal system is cubic. The value obtained for the total magnetization is 0.973 μB per atom. Its relative energy among the computed polymorphs is 1.55 eV/f.u. As for the calculated volume: 27.24 Å³/cell.


Here is FeCoH2 after structural relaxation from Alexandria. Energies are from PBEsol.

```
FeCoH2
1.0
-1.896 1.896 3.765
1.896 -1.896 3.765
1.896 1.896 -3.765
Fe Co H
2 2 4
Direct
0.000 0.000 0.000
0.750 0.250 0.500
0.250 0.750 0.500
0.500 0.500 0.000
0.136 0.625 0.011
0.375 0.386 0.511
0.614 0.125 0.989
0.875 0.864 0.489
```

Values from the calculation:
The crystal system is tetragonal. The value obtained for the total magnetization is 0.809 μB per atom. Its relative energy among the computed polymorphs is 0.00 eV/f.u. As for the calculated volume: 54.13 Å³/cell.


Here is FeCoH after structural relaxation from Alexandria. Energies are from PBEsol.

```
FeCoH
1.0
4.674 -1.268 0.000
4.674 1.268 0.000
-2.053 0.000 3.872
Fe Co H
2 2 2
Direct
0.115 0.115 0.283
0.885 0.885 0.717
0.379 0.379 0.214
0.621 0.621 0.786
0.250 0.250 0.752
0.750 0.750 0.248
```

Values from the calculation:
The crystal system is monoclinic. The value obtained for the total magnetization is 1.142 μB per atom. Its total DFT energy (no corrections) is -6.713 eV/atom. As for the calculated volume: 45.89 Å³/cell.


Here is FeCoH3 after structural relaxation from Alexandria. Energies are from PBEsol.

```
FeCoH3
1.0
3.123 0.000 0.000
0.000 3.123 0.000
0.000 0.000 3.123
Fe Co H
1 1 3
Direct
0.000 0.000 0.000
0.500 0.500 0.500
0.000 0.500 0.500
0.500 0.000 0.500
0.500 0.500 0.000
```

Values from the calculation:
The crystal system is cubic. The value obtained for the total magnetization is 0.621 μB per atom. Its total DFT energy (no corrections) is -5.173 eV/atom. As for the calculated volume: 30.44 Å³/cell.


Here is Hf2FeCo after structural relaxation from Alexandria. Energies are from PBEsol.

```
Hf2FeCo
1.0
0.000 3.100 3.100
3.100 0.000 3.100
3.100 3.100 0.000
Hf Fe Co
2 1 1
Direct
0.250 0.250 0.250
0.750 0.750 0.750
0.000 0.000 0.000
0.500 0.500 0.500
```

Values from the calculation:
For the formation energy, the calculation gives -0.377 eV per atom. The crystal system is cubic. The value obtained for the total magnetization is 0.244 μB per atom. As for the calculated volume: 59.59 Å³/cell.


Here is HfTlFeCo2 after structural relaxation from Alexandria. Energies are from PBEsol.

```
HfTlFeCo2
1.0
4.278 0.000 0.000
0.000 4.278 0.000
0.000 0.000 4.715
Hf Tl Fe Co
1 1 1 2
Direct
0.000 0.000 0.000
0.500 0.500 0.000
0.500 0.500 0.500
0.000 0.500 0.500
0.500 0.000 0.500
```

Values from the calculation:
For the formation energy, the calculation gives 0.938 eV per atom. The crystal system is tetragonal. The value obtained for the total magnetization is 1.065 μB per atom. As for the calculated volume: 86.29 Å³/cell.


Here is FeCoHg2 after structural relaxation from Alexandria. Energies are from PBEsol.

```
FeCoHg2
1.0
4.432 -1.521 0.000
4.432 1.521 0.000
-1.099 0.000 4.699
Fe Co Hg
1 1 2
Direct
0.000 0.000 0.000
0.500 0.500 0.500
0.247 0.247 0.747
0.753 0.753 0.253
```

Values from the calculation:
For the formation energy, the calculation gives 0.516 eV per atom. The crystal system is monoclinic. The value obtained for the total magnetization is 1.029 μB per atom. Its relative energy among the computed polymorphs is 1.06 eV/f.u. As for the calculated volume: 63.33 Å³/cell.


Here is FeCoHg2 after structural relaxation from Alexandria. Energies are from PBEsol.

```
FeCoHg2
1.0
0.000 3.155 3.155
3.155 0.000 3.155
3.155 3.155 0.000
Fe Co Hg
1 1 2
Direct
0.000 0.000 0.000
0.750 0.750 0.750
0.250 0.250 0.250
0.500 0.500 0.500
```

Values from the calculation:
For the formation energy, the calculation gives 0.541 eV per atom. The crystal system is cubic. The value obtained for the total magnetization is 1.052 μB per atom. Its relative energy among the computed polymorphs is 1.16 eV/f.u. As for the calculated volume: 62.81 Å³/cell.


Question: Number 5 is which compound?
Answer: Hf2FeCo